# 1
This record from Alexandria describes an optimized crystal structure of TlPbCl2. The functional is PBE.

Its distance to the lowest polymorph of the same formula is 172.4 meV/atom. The value obtained for the formation energy (no corrections) is -245.8 kJ/mol of formula units.

The space group is I-4m2 (No. 119) and the conventional cell measures 4.3797, 4.3797 and 12.0891 Å, with angles of 90.00, 90.00 and 90.00 degrees. Symmetry generates all atoms from Tl at (0.0000, 0.0000, 0.0000), Pb at (0.0000, 0.5000, 0.2500), Cl at (0.0000, 0.0000, 0.5000) and Cl at (0.0000, 0.5000, 0.7500).

=====

# 2
This record from Alexandria describes an optimized crystal structure of BiRh2Au2. The functional is PBE.

Its distance to the lowest polymorph of the same formula is 0.0 meV/atom. As for the formation energy: 0.133 eV per atom.

The space group is P4/mbm (No. 127) and the conventional cell measures 6.9052, 6.9052 and 3.9735 Å, with angles of 90.00, 90.00 and 90.00 degrees. Symmetry generates all atoms from Bi at (0.0000, 0.0000, 0.0000), Rh at (0.1383, 0.3617, 0.0000) and Au at (0.1561, 0.6561, 0.5000).